An optimized crystal structure of MgIr2Rh. Source: Alexandria, functional PBE.

The space group is I-42d. The crystal system is tetragonal. The value obtained for the calculated total energy is -6.38 eV/atom.

Lattice parameters (Å, degrees): 3.7360 3.7360 9.6378 78.82 78.82 90.00
Fractional positions:
Mg (0.5000, 0.5000, 0.0000)
Mg (0.2500, 0.7500, 0.5000)
Ir (0.6232, 0.1250, 0.2500)
Ir (0.1268, 0.6250, 0.2500)
Ir (0.3750, 0.3768, 0.7500)
Ir (0.8750, 0.8732, 0.7500)
Rh (0.0000, 0.0000, 0.0000)
Rh (0.7500, 0.2500, 0.5000)



An optimized crystal structure of Pa4CoPSe2. Source: Alexandria, functional PBE.

The space group is P2/m. The crystal system is monoclinic. The value obtained for the calculated total energy is -8.18 eV/atom. The calculation puts the formation energy (no corrections) at -1000 meV/atom.

Lattice parameters (Å, degrees): 3.8398 7.0944 7.0374 71.72 90.00 90.00
Fractional positions:
Pa (0.0000, 0.7137, 0.7714)
Pa (0.0000, 0.2863, 0.2286)
Pa (0.5000, 0.7288, 0.2546)
Pa (0.5000, 0.2712, 0.7454)
Co (0.5000, 0.5000, 0.0000)
P (0.0000, 0.5000, 0.5000)
Se (0.0000, 0.0000, 0.0000)
Se (0.5000, 0.0000, 0.5000)



An optimized crystal structure of FeAs3. Source: Alexandria, functional PBE.

The space group is Pm-3n. The crystal system is cubic. The value obtained for the calculated total energy is -5.15 eV/atom.

Lattice parameters (Å, degrees): 5.1433 5.1433 5.1433 90.00 90.00 90.00
Last column: magnetic moment on the atom in μB.
Fractional positions:
Fe (0.0000, 0.0000, 0.0000)  2.41
Fe (0.5000, 0.5000, 0.5000)  2.41
As (0.7500, 0.5000, 0.0000)  -0.07
As (0.2500, 0.5000, 0.0000)  -0.07
As (0.0000, 0.7500, 0.5000)  -0.07
As (0.0000, 0.2500, 0.5000)  -0.07
As (0.5000, 0.0000, 0.2500)  -0.07
As (0.5000, 0.0000, 0.7500)  -0.07



| no. | magnetization (μB per formula unit) |
| --- | --- |
| 1 | 0.00 |
| 2 | 0.00 |
| 3 | 2.05 |